Entry 1:
## Bi2TePd2 (PBE)

Data for a relaxed Bi2TePd2 crystal.

It has space group Cmc2_1 (No. 36), with a = 3.849 Å, b = 12.787 Å, c = 10.033 Å, α = 90.00°, β = 90.00° and γ = 90.00°. The distinct sites, in fractional coordinates, are Bi at (0.000, 0.098, 0.000), Bi at (0.000, 0.332, 0.192), Te at (0.000, 0.373, 0.837), Pd at (0.000, 0.011, 0.743) and Pd at (0.000, 0.242, 0.475).

For the distance to the lowest polymorph of the same formula, the calculation gives 69 meV/atom. For the calculated volume, the calculation gives 123.46 Å³/f.u.

---

Entry 2:
## Bi2TePd (PBE)

Data for a relaxed Bi2TePd crystal.

It has space group Pnma (No. 62), with a = 6.664 Å, b = 7.847 Å, c = 8.407 Å, α = 90.00°, β = 90.00° and γ = 90.00°. The distinct sites, in fractional coordinates, are Bi at (0.148, 0.032, 0.164), Te at (0.055, 0.750, 0.438) and Pd at (0.186, 0.750, 0.926).

The calculated total energy is -16.9 eV per formula unit. For the calculated volume, the calculation gives 109.91 Å³/f.u.

---

Entry 3:
## Bi3TePd4 (PBE)

Data for a relaxed Bi3TePd4 crystal.

It has space group Pmn2_1 (No. 31), with a = 9.524 Å, b = 7.827 Å, c = 5.643 Å, α = 90.00°, β = 90.00° and γ = 90.00°. The distinct sites, in fractional coordinates, are Bi at (0.000, 0.202, 0.000), Bi at (0.242, 0.342, 0.497), Te at (0.000, 0.836, 0.327), Pd at (0.000, 0.142, 0.516), Pd at (0.000, 0.839, 0.834) and Pd at (0.222, 0.696, 0.514).

The calculated total energy is -36.7 eV per formula unit. For the calculated volume, the calculation gives 210.33 Å³/f.u.

---

Entry 4:
## Bi3TePd12 (PBE)

Data for a relaxed Bi3TePd12 crystal.

It has space group P4/mmm (No. 123), with a = 4.121 Å, b = 4.121 Å, c = 16.585 Å, α = 90.00°, β = 90.00° and γ = 90.00°. The distinct sites, in fractional coordinates, are Bi at (0.000, 0.000, 0.000), Bi at (0.000, 0.000, 0.254), Te at (0.000, 0.000, 0.500), Pd at (0.000, 0.500, 0.125), Pd at (0.000, 0.500, 0.376), Pd at (0.500, 0.500, 0.000), Pd at (0.500, 0.500, 0.248) and Pd at (0.500, 0.500, 0.500).

The calculated total energy is -80.4 eV per formula unit. For the calculated volume, the calculation gives 281.67 Å³/f.u.

---

Entry 5:
## Bi12TePd7 (PBE)

Data for a relaxed Bi12TePd7 crystal.

It has space group R-3 (No. 148, hexagonal axes), with a = 13.1043 Å, b = 13.1043 Å, c = 10.8194 Å, α = 90.00°, β = 90.00° and γ = 120.00°. The distinct sites, in fractional coordinates, are Bi at (0.0353, 0.5826, 0.1421), Bi at (0.0420, 0.2010, 0.8667), Te at (0.0000, 0.0000, 0.5000), Pd at (0.0000, 0.0000, 0.0000) and Pd at (0.0343, 0.1457, 0.3067).

The calculated total energy is -88.2 eV per formula unit. For the calculated volume, the calculation gives 536.34 Å³/f.u.

---

Entry 6:
## Bi3Te2Pd4 (PBE)

Data for a relaxed Bi3Te2Pd4 crystal.

It has space group C2/c (No. 15), with a = 14.373 Å, b = 10.173 Å, c = 5.732 Å, α = 90.00°, β = 92.96° and γ = 90.00°. The distinct sites, in fractional coordinates, are Bi at (0.000, 0.097, 0.250), Bi at (0.089, 0.389, 0.532), Te at (0.204, 0.115, 0.835), Pd at (0.106, 0.321, 0.025) and Pd at (0.203, 0.154, 0.349).

The calculated total energy is -41.0 eV per formula unit. For the calculated volume, the calculation gives 209.25 Å³/f.u.

---

Entry 7:
## BiTePd3 (PBE)

Data for a relaxed BiTePd3 crystal.

It has space group Pm-3m (No. 221), with a = 5.093 Å, b = 5.093 Å, c = 5.093 Å, α = 90.00°, β = 90.00° and γ = 90.00°. The distinct sites, in fractional coordinates, are Bi at (0.000, 0.000, 0.000), Te at (0.500, 0.500, 0.500) and Pd at (0.000, 0.000, 0.500).

For the distance to the lowest polymorph of the same formula, the calculation gives 874 meV/atom. For the calculated volume, the calculation gives 132.11 Å³/f.u.

---

Entry 8:
## BiTe2Pd2 (PBE)

Data for a relaxed BiTe2Pd2 crystal.

It has space group Pmmn (No. 59, origin choice 2), with a = 4.325 Å, b = 10.765 Å, c = 5.513 Å, α = 90.00°, β = 90.00° and γ = 90.00°. The distinct sites, in fractional coordinates, are Bi at (0.250, 0.250, 0.055), Te at (0.250, 0.553, 0.265) and Pd at (0.250, 0.605, 0.758).

The calculated total energy is -21.7 eV per formula unit. For the calculated volume, the calculation gives 128.33 Å³/f.u.

---

Entry 9:
## Bi5TePd3 (PBE)

Data for a relaxed Bi5TePd3 crystal.

It has space group C2/m (No. 12), with a = 12.463 Å, b = 9.112 Å, c = 9.782 Å, α = 90.00°, β = 110.46° and γ = 90.00°. The distinct sites, in fractional coordinates, are Bi at (0.000, 0.193, 0.000), Bi at (0.045, 0.000, 0.350), Bi at (0.189, 0.297, 0.616), Bi at (0.234, 0.500, 0.032), Te at (0.090, 0.500, 0.292), Pd at (0.000, 0.500, 0.000), Pd at (0.000, 0.500, 0.500), Pd at (0.172, 0.000, 0.176) and Pd at (0.179, 0.000, 0.668).

The calculated total energy is -38.9 eV per formula unit. For the calculated volume, the calculation gives 260.20 Å³/f.u.

---

Entry 10:
## BiTePd3 (PBE)

Data for a relaxed BiTePd3 crystal.

It has space group P2_1/c (No. 14), with a = 7.321 Å, b = 6.754 Å, c = 10.983 Å, α = 90.00°, β = 129.80° and γ = 90.00°. The distinct sites, in fractional coordinates, are Bi at (0.077, 0.246, 0.193), Te at (0.443, 0.735, 0.854), Pd at (0.006, 0.153, 0.908), Pd at (0.250, 0.526, 0.091) and Pd at (0.421, 0.611, 0.577).

For the distance to the lowest polymorph of the same formula, the calculation gives 0 meV/atom. For the calculated volume, the calculation gives 104.30 Å³/f.u.

---

Entry 11:
## Bi5TePd4 (PBE)

Data for a relaxed Bi5TePd4 crystal.

It has space group C2/m (No. 12), with a = 17.047 Å, b = 4.506 Å, c = 6.959 Å, α = 90.00°, β = 103.83° and γ = 90.00°. The distinct sites, in fractional coordinates, are Bi at (0.000, 0.000, 0.000), Bi at (0.157, 0.500, 0.099), Bi at (0.186, 0.500, 0.615), Te at (0.000, 0.000, 0.500), Pd at (0.028, 0.500, 0.300) and Pd at (0.144, 0.000, 0.354).

The calculated total energy is -45.4 eV per formula unit. For the calculated volume, the calculation gives 259.53 Å³/f.u.

---

Entry 12:
## BiTePd3 (PBE)

Data for a relaxed BiTePd3 crystal.

It has space group Pm-3m (No. 221), with a = 4.983 Å, b = 4.983 Å, c = 4.983 Å, α = 90.00°, β = 90.00° and γ = 90.00°. The distinct sites, in fractional coordinates, are Bi at (0.000, 0.000, 0.000), Te at (0.500, 0.500, 0.500) and Pd at (0.000, 0.500, 0.500).

For the distance to the lowest polymorph of the same formula, the calculation gives 485 meV/atom. For the calculated volume, the calculation gives 123.75 Å³/f.u.

---

Entry 13:
## Bi5Te2Pd12 (PBE)

Data for a relaxed Bi5Te2Pd12 crystal.

It has space group C2/m (No. 12), with a = 14.453 Å, b = 7.745 Å, c = 6.724 Å, α = 90.00°, β = 90.65° and γ = 90.00°. The distinct sites, in fractional coordinates, are Bi at (0.000, 0.000, 0.000), Bi at (0.207, 0.500, 0.445), Bi at (0.247, 0.000, 0.069), Te at (0.000, 0.267, 0.500), Pd at (0.055, 0.500, 0.794), Pd at (0.107, 0.000, 0.389), Pd at (0.108, 0.307, 0.149) and Pd at (0.151, 0.188, 0.752).

The calculated total energy is -92.6 eV per formula unit. For the calculated volume, the calculation gives 376.28 Å³/f.u.

---

Entry 14:
## Bi2TePd (PBE)

Data for a relaxed Bi2TePd crystal.

It has space group P2_1/m (No. 11), with a = 4.734 Å, b = 4.676 Å, c = 10.612 Å, α = 90.00°, β = 94.66° and γ = 90.00°. The distinct sites, in fractional coordinates, are Bi at (0.102, 0.250, 0.345), Bi at (0.248, 0.250, 0.037), Te at (0.372, 0.250, 0.666) and Pd at (0.112, 0.750, 0.190).

The calculated total energy is -16.8 eV per formula unit. For the calculated volume, the calculation gives 117.07 Å³/f.u.

---

Entry 15:
## Bi2TePd4 (PBE)

Data for a relaxed Bi2TePd4 crystal.

It has space group I4/mmm (No. 139), with a = 4.990 Å, b = 4.990 Å, c = 14.281 Å, α = 90.00°, β = 90.00° and γ = 90.00°. The distinct sites, in fractional coordinates, are Bi at (0.000, 0.000, 0.132), Te at (0.000, 0.000, 0.500), Pd at (0.000, 0.000, 0.319) and Pd at (0.000, 0.500, 0.000).

For the distance to the lowest polymorph of the same formula, the calculation gives 343 meV/atom. For the calculated volume, the calculation gives 177.80 Å³/f.u.

---

Entry 16:
## Tl3BiTe2Pd9 (PBE)

Data for a relaxed Tl3BiTe2Pd9 crystal.

It has space group P-3m1 (No. 164), with a = 7.1049 Å, b = 7.1049 Å, c = 8.6541 Å, α = 90.00°, β = 90.00° and γ = 120.00°. The distinct sites, in fractional coordinates, are Tl at (0.0000, 0.0000, 0.0000), Tl at (0.3333, 0.6667, 0.7384), Bi at (0.0000, 0.0000, 0.5000), Te at (0.3333, 0.6667, 0.2099), Pd at (0.0000, 0.5000, 0.0000) and Pd at (0.1316, 0.2631, 0.2494).

The calculated total energy is -64.8 eV per formula unit. For the calculated volume, the calculation gives 378.33 Å³/f.u.

---

Entry 17:
## VBiTe2Pd (PBE)

Data for a relaxed VBiTe2Pd crystal.

It has space group P4/mmm (No. 123), with a = 5.320 Å, b = 5.320 Å, c = 5.207 Å, α = 90.00°, β = 90.00° and γ = 90.00°. The distinct sites, in fractional coordinates, are V at (0.000, 0.000, 0.000), Bi at (0.500, 0.500, 0.000), Te at (0.000, 0.500, 0.500) and Pd at (0.500, 0.500, 0.500).

The calculated total energy is -20.1 eV per formula unit. For the calculated volume, the calculation gives 147.38 Å³/f.u.

---

Entry 18:
## Th3BiPd (PBE)

Data for a relaxed Th3BiPd crystal.

It has space group Cmmm (No. 65), with a = 7.817 Å, b = 15.965 Å, c = 5.018 Å, α = 90.00°, β = 90.00° and γ = 90.00°. The distinct sites, in fractional coordinates, are Th at (0.000, 0.152, 0.000), Th at (0.185, 0.500, 0.500), Th at (0.250, 0.250, 0.500), Bi at (0.000, 0.365, 0.000) and Pd at (0.000, 0.086, 0.500).

For the calculated volume, the calculation gives 156.57 Å³/f.u. As for the formation energy: -0.245 eV/atom.

---

Entry 19:
## ThBiPd4 (PBE)

Data for a relaxed ThBiPd4 crystal.

It has space group F-43m (No. 216), with a = 7.787 Å, b = 7.787 Å, c = 7.787 Å, α = 90.00°, β = 90.00° and γ = 90.00°. The distinct sites, in fractional coordinates, are Th at (0.000, 0.000, 0.000), Bi at (0.250, 0.250, 0.750) and Pd at (0.125, 0.125, 0.375).

For the distance to the lowest polymorph of the same formula, the calculation gives 0 meV/atom. For the calculated volume, the calculation gives 118.06 Å³/f.u. As for the formation energy: -0.582 eV/atom.

---

Entry 20:
## ThBiPd4 (PBE)

Data for a relaxed ThBiPd4 crystal.

It has space group P2_1/m (No. 11), with a = 5.841 Å, b = 5.977 Å, c = 7.032 Å, α = 90.00°, β = 90.02° and γ = 90.00°. The distinct sites, in fractional coordinates, are Th at (0.000, 0.250, 0.196), Bi at (0.500, 0.250, 0.820), Pd at (0.001, 0.250, 0.774), Pd at (0.253, 0.000, 0.499) and Pd at (0.500, 0.250, 0.224).

For the distance to the lowest polymorph of the same formula, the calculation gives 24 meV/atom. For the calculated volume, the calculation gives 122.74 Å³/f.u. As for the formation energy: -0.558 eV/atom.